Record 1
# CdNiAu | the Alexandria database | PBE | relaxed
data_CdNiAu
_chemical_formula_sum 'Cd1 Ni1 Au1'
_space_group_name_H-M_alt 'P 1'
_space_group_IT_number 1
_cell_length_a 4.458
_cell_length_b 4.458
_cell_length_c 2.887
_cell_angle_alpha 90.00
_cell_angle_beta 90.00
_cell_angle_gamma 120.00
loop_
_space_group_symop_operation_xyz
'x,y,z'
loop_
_atom_site_label
_atom_site_type_symbol
_atom_site_fract_x
_atom_site_fract_y
_atom_site_fract_z
Cd1 Cd 0.000 0.000 0.000
Ni1 Ni 0.667 0.333 0.354
Au1 Au 0.333 0.667 0.568
# - Fermi-level density of states: 1.15 states/eV/f.u.
# - Formation energy: 0.0601 eV per atom
# - E above lowest polymorph: 0.0658 eV per atom

Record 2
# PrTmPu | the Alexandria database | PBE | relaxed
data_PrTmPu
_chemical_formula_sum 'Pr1 Tm1 Pu1'
_space_group_name_H-M_alt 'P 1'
_space_group_IT_number 1
_cell_length_a 5.682
_cell_length_b 5.682
_cell_length_c 3.301
_cell_angle_alpha 90.00
_cell_angle_beta 90.00
_cell_angle_gamma 120.00
loop_
_space_group_symop_operation_xyz
'x,y,z'
loop_
_atom_site_label
_atom_site_type_symbol
_atom_site_fract_x
_atom_site_fract_y
_atom_site_fract_z
Pr1 Pr 0.000 0.000 0.000
Tm1 Tm 0.333 0.667 0.000
Pu1 Pu 0.667 0.333 0.500
# - Fermi-level density of states: 9.16 states/eV/f.u.
# - Formation energy: 0.2214 eV per atom
# - E above lowest polymorph: 0.0941 eV per atom

Record 3
# Er2Al9Cu6 | the Alexandria database | PBE | relaxed
data_Er2Al9Cu6
_chemical_formula_sum 'Er2 Al9 Cu6'
_space_group_name_H-M_alt 'P 1'
_space_group_IT_number 1
_cell_length_a 5.299
_cell_length_b 5.299
_cell_length_c 12.240
_cell_angle_alpha 90.00
_cell_angle_beta 90.00
_cell_angle_gamma 120.00
loop_
_space_group_symop_operation_xyz
'x,y,z'
loop_
_atom_site_label
_atom_site_type_symbol
_atom_site_fract_x
_atom_site_fract_y
_atom_site_fract_z
Er1 Er 0.000 0.000 0.165
Er2 Er 0.000 0.000 0.835
Al1 Al 0.000 0.500 0.000
Al2 Al 0.000 0.500 0.336
Al3 Al 0.000 0.500 0.664
Al4 Al 0.500 0.000 0.000
Al5 Al 0.500 0.000 0.336
Al6 Al 0.500 0.000 0.664
Al7 Al 0.500 0.500 0.000
Al8 Al 0.500 0.500 0.336
Al9 Al 0.500 0.500 0.664
Cu1 Cu 0.333 0.667 0.167
Cu2 Cu 0.333 0.667 0.500
Cu3 Cu 0.333 0.667 0.833
Cu4 Cu 0.667 0.333 0.167
Cu5 Cu 0.667 0.333 0.500
Cu6 Cu 0.667 0.333 0.833
# - Fermi-level density of states: 5.61 states/eV/f.u.
# - Formation energy: -0.2280 eV per atom

Record 4
# TlZnF3 | the Alexandria database | PBE | relaxed
data_TlZnF3
_chemical_formula_sum 'Tl2 Zn2 F6'
_space_group_name_H-M_alt 'P 1'
_space_group_IT_number 1
_cell_length_a 7.079
_cell_length_b 7.079
_cell_length_c 7.079
_cell_angle_alpha 136.61
_cell_angle_beta 136.61
_cell_angle_gamma 63.03
loop_
_space_group_symop_operation_xyz
'x,y,z'
loop_
_atom_site_label
_atom_site_type_symbol
_atom_site_fract_x
_atom_site_fract_y
_atom_site_fract_z
Tl1 Tl 0.128 0.128 0.000
Tl2 Tl 0.872 0.872 0.000
Zn1 Zn 0.500 0.500 0.000
Zn2 Zn 0.750 0.250 0.500
F1 F 0.060 0.560 0.500
F2 F 0.126 0.361 0.766
F3 F 0.440 0.940 0.500
F4 F 0.595 0.361 0.234
F5 F 0.639 0.405 0.766
F6 F 0.639 0.874 0.234
# - Fermi-level density of states: 0.00 states/eV/f.u.
# - Energy relative to the elements, uncorrected: -1.79 eV per atom

Record 5
# TmTlPt | the Alexandria database | PBE | relaxed
data_TmTlPt
_chemical_formula_sum 'Tm1 Tl1 Pt1'
_space_group_name_H-M_alt 'P 1'
_space_group_IT_number 1
_cell_length_a 4.727
_cell_length_b 4.727
_cell_length_c 4.727
_cell_angle_alpha 60.00
_cell_angle_beta 60.00
_cell_angle_gamma 60.00
loop_
_space_group_symop_operation_xyz
'x,y,z'
loop_
_atom_site_label
_atom_site_type_symbol
_atom_site_fract_x
_atom_site_fract_y
_atom_site_fract_z
Tm1 Tm 0.000 0.000 0.000
Tl1 Tl 0.500 0.500 0.500
Pt1 Pt 0.750 0.750 0.750
# - Fermi-level density of states: 3.38 states/eV/f.u.
# - Formation energy: -0.7056 eV per atom

Record 6
# Cr2InAs | the Alexandria database | PBE | relaxed
data_Cr2InAs
_chemical_formula_sum 'Cr2 In1 As1'
_space_group_name_H-M_alt 'P 1'
_space_group_IT_number 1
_cell_length_a 4.822
_cell_length_b 4.822
_cell_length_c 3.106
_cell_angle_alpha 90.00
_cell_angle_beta 90.00
_cell_angle_gamma 102.10
loop_
_space_group_symop_operation_xyz
'x,y,z'
loop_
_atom_site_label
_atom_site_type_symbol
_atom_site_fract_x
_atom_site_fract_y
_atom_site_fract_z
Cr1 Cr 0.000 0.500 0.000
Cr2 Cr 0.500 0.000 0.000
In1 In 0.000 0.000 0.500
As1 As 0.500 0.500 0.500
# - Fermi-level density of states: 2.38 states/eV/f.u.
# - Formation energy: 0.3824 eV per atom
# - E above lowest polymorph: 0.2367 eV per atom

Record 7
# Ba2PdPt | the Alexandria database | PBE | relaxed
data_Ba2PdPt
_chemical_formula_sum 'Ba2 Pd1 Pt1'
_space_group_name_H-M_alt 'P 1'
_space_group_IT_number 1
_cell_length_a 5.497
_cell_length_b 5.497
_cell_length_c 3.904
_cell_angle_alpha 90.00
_cell_angle_beta 90.00
_cell_angle_gamma 90.00
loop_
_space_group_symop_operation_xyz
'x,y,z'
loop_
_atom_site_label
_atom_site_type_symbol
_atom_site_fract_x
_atom_site_fract_y
_atom_site_fract_z
Ba1 Ba 0.000 0.500 0.000
Ba2 Ba 0.500 0.000 0.000
Pd1 Pd 0.000 0.000 0.500
Pt1 Pt 0.500 0.500 0.500
# - Fermi-level density of states: 1.39 states/eV/f.u.
# - Formation energy: -0.5607 eV per atom

Record 8
# Ac2Al6Ru | the Alexandria database | PBE | relaxed
data_Ac2Al6Ru
_chemical_formula_sum 'Ac2 Al6 Ru1'
_space_group_name_H-M_alt 'P 1'
_space_group_IT_number 1
_cell_length_a 6.312
_cell_length_b 6.312
_cell_length_c 5.792
_cell_angle_alpha 90.00
_cell_angle_beta 90.00
_cell_angle_gamma 120.00
loop_
_space_group_symop_operation_xyz
'x,y,z'
loop_
_atom_site_label
_atom_site_type_symbol
_atom_site_fract_x
_atom_site_fract_y
_atom_site_fract_z
Ac1 Ac 0.333 0.667 0.188
Ac2 Ac 0.667 0.333 0.812
Al1 Al 0.161 0.322 0.685
Al2 Al 0.161 0.839 0.685
Al3 Al 0.322 0.161 0.315
Al4 Al 0.678 0.839 0.685
Al5 Al 0.839 0.161 0.315
Al6 Al 0.839 0.678 0.315
Ru1 Ru 0.000 0.000 0.000
# - Fermi-level density of states: 5.32 states/eV/f.u.
# - Formation energy: -0.3642 eV per atom

Record 9
# LiHf2Al2 | the Alexandria database | PBE | relaxed
data_LiHf2Al2
_chemical_formula_sum 'Li2 Hf4 Al4'
_space_group_name_H-M_alt 'P 1'
_space_group_IT_number 1
_cell_length_a 7.744
_cell_length_b 7.744
_cell_length_c 3.279
_cell_angle_alpha 90.00
_cell_angle_beta 90.00
_cell_angle_gamma 90.00
loop_
_space_group_symop_operation_xyz
'x,y,z'
loop_
_atom_site_label
_atom_site_type_symbol
_atom_site_fract_x
_atom_site_fract_y
_atom_site_fract_z
Li1 Li 0.000 0.000 0.000
Li2 Li 0.500 0.500 0.000
Hf1 Hf 0.178 0.322 0.500
Hf2 Hf 0.322 0.822 0.500
Hf3 Hf 0.678 0.178 0.500
Hf4 Hf 0.822 0.678 0.500
Al1 Al 0.119 0.619 0.000
Al2 Al 0.381 0.119 0.000
Al3 Al 0.619 0.881 0.000
Al4 Al 0.881 0.381 0.000
# - Fermi-level density of states: 1.98 states/eV/f.u.
# - Formation energy: -0.0969 eV per atom
# - E above lowest polymorph: 0.0000 eV per atom

Record 10
# Ce2GeOsC | the Alexandria database | PBE | relaxed
data_Ce2GeOsC
_chemical_formula_sum 'Ce4 Ge2 Os2 C2'
_space_group_name_H-M_alt 'P 1'
_space_group_IT_number 1
_cell_length_a 6.753
_cell_length_b 3.948
_cell_length_c 8.358
_cell_angle_alpha 90.00
_cell_angle_beta 112.96
_cell_angle_gamma 90.00
loop_
_space_group_symop_operation_xyz
'x,y,z'
loop_
_atom_site_label
_atom_site_type_symbol
_atom_site_fract_x
_atom_site_fract_y
_atom_site_fract_z
Ce1 Ce 0.180 0.250 0.402
Ce2 Ce 0.242 0.750 0.020
Ce3 Ce 0.758 0.250 0.980
Ce4 Ce 0.820 0.750 0.598
Ge1 Ge 0.441 0.750 0.716
Ge2 Ge 0.559 0.250 0.284
Os1 Os 0.221 0.250 0.736
Os2 Os 0.779 0.750 0.264
C1 C 0.014 0.750 0.181
C2 C 0.986 0.250 0.819
# - Fermi-level density of states: 6.79 states/eV/f.u.
# - Formation energy: -0.3598 eV per atom

Record 11
# SmFeCo | the Alexandria database | PBE | relaxed
data_SmFeCo
_chemical_formula_sum 'Sm1 Fe1 Co1'
_space_group_name_H-M_alt 'P 1'
_space_group_IT_number 1
_cell_length_a 3.892
_cell_length_b 3.892
_cell_length_c 4.197
_cell_angle_alpha 90.00
_cell_angle_beta 90.00
_cell_angle_gamma 120.00
loop_
_space_group_symop_operation_xyz
'x,y,z'
loop_
_atom_site_label
_atom_site_type_symbol
_atom_site_fract_x
_atom_site_fract_y
_atom_site_fract_z
Sm1 Sm 0.000 0.000 0.000
Fe1 Fe 0.667 0.333 0.500
Co1 Co 0.333 0.667 0.500
# - Fermi-level density of states: 1.54 states/eV/f.u.
# - Formation energy: -0.0450 eV per atom

Record 12
# Sc6Zn23 | the Alexandria database | PBE | relaxed
data_Sc6Zn23
_chemical_formula_sum 'Sc6 Zn23'
_space_group_name_H-M_alt 'P 1'
_space_group_IT_number 1
_cell_length_a 8.733
_cell_length_b 8.733
_cell_length_c 8.733
_cell_angle_alpha 60.00
_cell_angle_beta 60.00
_cell_angle_gamma 60.00
loop_
_space_group_symop_operation_xyz
'x,y,z'
loop_
_atom_site_label
_atom_site_type_symbol
_atom_site_fract_x
_atom_site_fract_y
_atom_site_fract_z
Sc1 Sc 0.201 0.201 0.799
Sc2 Sc 0.201 0.799 0.201
Sc3 Sc 0.201 0.799 0.799
Sc4 Sc 0.799 0.201 0.201
Sc5 Sc 0.799 0.201 0.799
Sc6 Sc 0.799 0.799 0.201
Zn1 Zn 0.000 0.000 0.500
Zn2 Zn 0.000 0.500 0.000
Zn3 Zn 0.000 0.500 0.500
Zn4 Zn 0.135 0.622 0.622
Zn5 Zn 0.167 0.167 0.167
Zn6 Zn 0.167 0.167 0.500
Zn7 Zn 0.167 0.500 0.167
Zn8 Zn 0.378 0.378 0.378
Zn9 Zn 0.378 0.378 0.865
Zn10 Zn 0.378 0.865 0.378
Zn11 Zn 0.500 0.000 0.000
Zn12 Zn 0.500 0.000 0.500
Zn13 Zn 0.500 0.167 0.167
Zn14 Zn 0.500 0.500 0.000
Zn15 Zn 0.500 0.500 0.500
Zn16 Zn 0.500 0.833 0.833
Zn17 Zn 0.622 0.135 0.622
Zn18 Zn 0.622 0.622 0.135
Zn19 Zn 0.622 0.622 0.622
Zn20 Zn 0.833 0.500 0.833
Zn21 Zn 0.833 0.833 0.500
Zn22 Zn 0.833 0.833 0.833
Zn23 Zn 0.865 0.378 0.378
# - Fermi-level density of states: 13.84 states/eV/f.u.
# - Formation energy: -0.2600 eV per atom

In eV for the cell shown, the calculated total energy values for the records above are, in order, -9.79; -22.92; -71.26; -36.42; -15.00; -25.10; -17.32; -43.23; -59.58; -77.48; -20.42; -74.83.